The following is a DFT calculation (PBE+U) of CaHoCr2O6 after structural relaxation.

Output
For the density of states at the Fermi level, the calculation gives 7.5 states/eV per cell. For the total energy, the calculation gives -7.639 eV/atom. Its space group is No. 31.

Lattice parameters (Å, degrees): 5.301 5.534 7.592 90.00 90.00 90.00
Last column: magnetic moment on the atom in μB.
Sites, in units of the cell vectors:
Ca (0.490, 0.197, 0.000)  0.00
Ca (0.990, 0.803, 0.500)  0.00
Ho (0.020, 0.681, 0.000)  0.01
Ho (0.520, 0.319, 0.500)  0.01
Cr (0.003, 0.245, 0.750)  2.64
Cr (0.003, 0.245, 0.250)  2.64
Cr (0.503, 0.755, 0.250)  2.64
Cr (0.503, 0.755, 0.750)  2.64
O (0.109, 0.220, 0.500)  -0.06
O (0.195, 0.945, 0.803)  -0.08
O (0.195, 0.945, 0.197)  -0.08
O (0.297, 0.457, 0.799)  -0.05
O (0.297, 0.457, 0.201)  -0.05
O (0.413, 0.716, 0.500)  -0.06
O (0.609, 0.780, 0.000)  -0.06
O (0.695, 0.055, 0.303)  -0.08
O (0.695, 0.055, 0.697)  -0.08
O (0.797, 0.543, 0.701)  -0.05
O (0.797, 0.543, 0.299)  -0.05
O (0.913, 0.284, 0.000)  -0.06